# Mg16TaAl12 | the Alexandria database | GGA-PBE | relaxed
# DFT total energy, eV per atom: -2.836
data_Mg16TaAl12
_cell_length_a 14.7171
_cell_length_b 14.7171
_cell_length_c 9.1244
_cell_angle_alpha 90.00
_cell_angle_beta 90.00
_cell_angle_gamma 120.00
_symmetry_space_group_name_H-M 'R 3 m'
_symmetry_Int_Tables_number 160
_symmetry_space_group_name_Hall 'R 3 -2"'
loop_
_atom_site_label
_atom_site_type_symbol
_atom_site_fract_x
_atom_site_fract_y
_atom_site_fract_z
Mg1 Mg 0.0000 0.0000 0.0000
Mg2 Mg 0.0370 0.3608 0.3619
Mg3 Mg 0.1024 0.5512 0.5536
Mg4 Mg 0.1035 0.2069 0.4934
Mg5 Mg 0.2015 0.4031 0.1180
Ta1 Ta 0.0000 0.0000 0.3290
Al1 Al 0.0011 0.1806 0.1877
Al2 Al 0.1235 0.0618 0.6952
Al3 Al 0.2102 0.4205 0.6042

---

# KSrCuSe2 | the Alexandria database | GGA-PBE | relaxed
# DFT total energy, eV per atom: -3.880
data_KSrCuSe2
_cell_length_a 8.508
_cell_length_b 15.810
_cell_length_c 5.200
_cell_angle_alpha 90.00
_cell_angle_beta 90.00
_cell_angle_gamma 90.00
_symmetry_space_group_name_H-M 'C m m e'
_symmetry_Int_Tables_number 67
_symmetry_space_group_name_Hall '-C 2a 2'
loop_
_atom_site_label
_atom_site_type_symbol
_atom_site_fract_x
_atom_site_fract_y
_atom_site_fract_z
K1 K 0.000 0.250 0.235
Sr1 Sr 0.250 0.000 0.500
Cu1 Cu 0.000 0.000 0.000
Se1 Se 0.000 0.116 0.744

---

# TbCdF4 | the Alexandria database | GGA-PBE | relaxed
# DFT total energy, eV per atom: -5.247
data_TbCdF4
_cell_length_a 7.627
_cell_length_b 7.627
_cell_length_c 7.839
_cell_angle_alpha 90.00
_cell_angle_beta 90.00
_cell_angle_gamma 90.00
_symmetry_space_group_name_H-M 'I 41 m d'
_symmetry_Int_Tables_number 109
_symmetry_space_group_name_Hall 'I 4bw -2'
loop_
_atom_site_label
_atom_site_type_symbol
_atom_site_fract_x
_atom_site_fract_y
_atom_site_fract_z
Tb1 Tb 0.000 0.000 0.000
Cd1 Cd 0.000 0.000 0.529
F1 F 0.000 0.188 0.788
F2 F 0.000 0.210 0.201

---

# MgAl2Os | the Alexandria database | GGA-PBE | relaxed
# Excess energy over the best structure of this formula in the dataset, kJ/mol of atoms: 1.06
data_MgAl2Os
_cell_length_a 4.009
_cell_length_b 4.009
_cell_length_c 7.535
_cell_angle_alpha 90.00
_cell_angle_beta 90.00
_cell_angle_gamma 90.00
_symmetry_space_group_name_H-M 'I 4/m m m'
_symmetry_Int_Tables_number 139
_symmetry_space_group_name_Hall '-I 4 2'
loop_
_atom_site_label
_atom_site_type_symbol
_atom_site_fract_x
_atom_site_fract_y
_atom_site_fract_z
Mg1 Mg 0.000 0.000 0.000
Al1 Al 0.000 0.500 0.250
Os1 Os 0.000 0.000 0.500

---

| no. | spin magnetization (μB per formula unit) |
| --- | --- |
| 1 | 0.000 |
| 2 | 0.000 |
| 3 | 0.000 |
| 4 | 0.000 |